Entry 1:
20
Lattice="4.530 -7.498 0.000 4.530 7.498 0.000 -1.124 0.000 9.423" Properties=species:S:1:pos:R:3 comment="PrDy2Ho6Er | the Alexandria database | PBE | optimized geometry" delta_e_f_ev_per_atom=0.121 space_group="C2/c (15)" pbc="T T T"
Pr 3.687 7.115 7.067
Pr 4.249 -7.115 2.356
Dy 1.671 0.793 5.153
Dy 2.233 -0.793 0.442
Dy 5.703 0.793 8.981
Dy 6.265 -0.793 4.270
Ho 1.870 4.111 6.438
Ho 3.896 4.688 0.541
Ho 4.602 4.688 4.171
Ho 2.637 1.636 8.314
Ho 5.504 4.111 7.696
Ho 4.737 1.636 5.821
Ho 3.199 -1.636 3.602
Ho 2.432 -4.111 1.727
Ho 5.299 -1.636 1.109
Ho 3.334 -4.688 5.252
Ho 4.040 -4.688 8.882
Ho 6.066 -4.111 2.985
Er 4.249 1.352 2.356
Er 3.687 -1.352 7.067

Entry 2:
12
Lattice="6.547 0.000 0.000 0.000 17.684 0.000 0.000 0.000 3.392" Properties=species:S:1:pos:R:3 comment="PrDy2HoEr2 | the Alexandria database | PBE | optimized geometry" delta_e_f_ev_per_atom=0.281 space_group="Pnnm (58)" pbc="T T T"
Pr 0.000 0.000 0.000
Pr 3.273 8.842 1.696
Dy 1.442 6.201 1.696
Dy 1.831 15.043 0.000
Dy 4.716 2.641 0.000
Dy 5.104 11.483 1.696
Ho 0.000 8.842 0.000
Ho 3.273 0.000 1.696
Er 1.464 3.262 0.000
Er 1.809 12.104 1.696
Er 4.737 5.580 1.696
Er 5.083 14.422 0.000

Entry 3:
20
Lattice="4.658 -7.707 0.000 4.658 7.707 0.000 -1.257 0.000 9.596" Properties=species:S:1:pos:R:3 comment="Pr6DyHo2Er | the Alexandria database | PBE | optimized geometry" delta_e_f_ev_per_atom=0.116 space_group="C2/c (15)" pbc="T T T"
Pr 2.416 4.297 1.818
Pr 3.402 4.998 5.316
Pr 4.030 4.998 9.079
Pr 3.264 1.679 3.674
Pr 6.272 4.297 2.981
Pr 5.425 1.679 1.124
Pr 2.635 -1.679 8.473
Pr 1.788 -4.297 6.616
Pr 4.796 -1.679 5.922
Pr 4.030 -4.998 0.518
Pr 4.658 -4.998 4.281
Pr 5.644 -4.297 7.779
Dy 4.344 7.275 2.399
Dy 3.716 -7.275 7.197
Ho 2.258 0.741 0.448
Ho 1.630 -0.741 5.246
Ho 6.430 0.741 4.350
Ho 5.802 -0.741 9.148
Er 3.716 1.352 7.197
Er 4.344 -1.352 2.399

Entry 4:
12
Lattice="6.522 0.000 0.000 0.000 17.746 0.000 0.000 0.000 3.392" Properties=species:S:1:pos:R:3 comment="PrDyHo2Er2 | the Alexandria database | PBE | optimized geometry" delta_e_f_ev_per_atom=0.282 space_group="Pnnm (58)" pbc="T T T"
Pr 0.000 0.000 0.000
Pr 3.261 8.873 1.696
Dy 0.000 8.873 0.000
Dy 3.261 0.000 1.696
Ho 1.450 3.307 0.000
Ho 1.811 12.180 1.696
Ho 4.711 5.566 1.696
Ho 5.072 14.439 0.000
Er 1.432 6.235 1.696
Er 1.830 15.108 0.000
Er 4.693 2.638 0.000
Er 5.091 11.511 1.696